# FeSiTe2

A relaxed FeSiTe2 crystal (PBE, Alexandria).

## Properties
Its formation energy (no corrections) is 0.2714 eV per atom. For the density, the calculation gives 6.3 g/cm³. The magnetic moment comes out at 0.81 μB/atom.

```
FeSiTe2
1.0
1.974 1.140 6.604
-1.974 1.140 6.604
0.000 -2.280 6.604
Fe Si Te
1 1 2
Direct
0.000 0.000 0.000 Fe
0.500 0.500 0.500 Si
0.252 0.252 0.252 Te
0.748 0.748 0.748 Te
```

# Dy2CuRh

A relaxed Dy2CuRh crystal (PBE, Alexandria).

## Properties
Its calculated formation energy is -0.5606 eV per atom. For the density, the calculation gives 9.9 g/cm³. The magnetic moment comes out at 0.00 μB/atom.

```
Dy2CuRh
1.0
4.851 0.000 0.000
0.000 4.851 0.000
0.000 0.000 3.486
Dy Cu Rh
2 1 1
Direct
0.000 0.500 0.000 Dy
0.500 0.000 0.000 Dy
0.000 0.000 0.500 Cu
0.500 0.500 0.500 Rh
```

# CaTlP

A relaxed CaTlP crystal (PBE, Alexandria).

## Properties
Its calculated formation energy is -0.5719 eV per atom. For the density, the calculation gives 5.6 g/cm³. The magnetic moment comes out at 0.00 μB/atom.

```
CaTlP
1.0
4.197 0.000 0.000
-2.098 3.634 0.000
0.000 0.000 5.351
Ca Tl P
1 1 1
Direct
0.000 0.000 0.000 Ca
0.667 0.333 0.458 Tl
0.333 0.667 0.733 P
```

# SrV2InTc

A relaxed SrV2InTc crystal (PBE, Alexandria).

## Properties
Its calculated formation energy is 0.9915 eV per atom. For the density, the calculation gives 4.4 g/cm³. The magnetic moment comes out at 0.90 μB/atom.

```
SrV2InTc
1.0
4.969 0.000 0.000
0.000 4.969 0.000
0.000 0.000 6.210
Sr V In Tc
1 2 1 1
Direct
0.000 0.000 0.000 Sr
0.000 0.500 0.500 V
0.500 0.000 0.500 V
0.500 0.500 0.000 In
0.000 0.000 0.500 Tc
```

# TlSi3N

A relaxed TlSi3N crystal (PBE, Alexandria).

## Properties
Its formation energy (no corrections) is 0.8231 eV per atom. For the density, the calculation gives 6.3 g/cm³. The magnetic moment comes out at 0.00 μB/atom.

```
TlSi3N
1.0
4.304 0.000 0.000
0.000 4.304 0.000
0.000 0.000 4.304
Tl Si N
1 3 1
Direct
0.000 0.000 0.000 Tl
0.000 0.500 0.500 Si
0.500 0.000 0.500 Si
0.500 0.500 0.000 Si
0.500 0.500 0.500 N
```

# YTe2Ru

A relaxed YTe2Ru crystal (PBE, Alexandria).

## Properties
Its formation energy (no corrections) is -0.2523 eV per atom. For the density, the calculation gives 6.2 g/cm³. The magnetic moment comes out at 0.00 μB/atom.

```
YTe2Ru
1.0
-2.760 2.760 7.873
2.760 -2.760 7.873
2.760 2.760 -7.873
Y Te Ru
2 4 2
Direct
0.000 0.000 0.000 Y
0.750 0.250 0.500 Y
0.188 0.625 0.063 Te
0.375 0.438 0.563 Te
0.562 0.125 0.937 Te
0.875 0.812 0.437 Te
0.250 0.750 0.500 Ru
0.500 0.500 0.000 Ru
```